[1]
VASP calculation (PBE-GGA) on a geometry-optimized SmLuNi structure.

a b c (Å): 3.397 3.397 12.363
angles (deg): 90.00 90.00 90.00
Space group I4mm (No. 107)
Inequivalent atoms, fractional coordinates:
Sm (0.000, 0.000, 0.000) [2 per cell]
Lu (0.000, 0.000, 0.735) [2 per cell]
Ni (0.000, 0.000, 0.354) [2 per cell]

=====

[2]
VASP calculation (PBE-GGA) on a geometry-optimized SmLu2Ni structure.

a b c (Å): 3.378 3.378 8.622
angles (deg): 90.00 90.00 90.00
Space group P4/mmm (No. 123)
Inequivalent atoms, fractional coordinates:
Sm (0.000, 0.000, 0.000) [1 per cell]
Lu (0.500, 0.500, 0.317) [2 per cell]
Ni (0.000, 0.000, 0.500) [1 per cell]

Results
**E above lowest polymorph**: 0 meV per atom

=====

[3]
VASP calculation (PBE-GGA) on a geometry-optimized LuNiSn4 structure.

a b c (Å): 4.404 28.059 4.524
angles (deg): 90.00 90.00 90.00
Space group Cmmm (No. 65)
Inequivalent atoms, fractional coordinates:
Lu (0.000, 0.196, 0.000) [4 per cell]
Ni (0.000, 0.447, 0.500) [4 per cell]
Sn (0.000, 0.000, 0.500) [2 per cell]
Sn (0.000, 0.111, 0.500) [4 per cell]
Sn (0.000, 0.287, 0.500) [4 per cell]
Sn (0.000, 0.390, 0.000) [4 per cell]
Sn (0.000, 0.500, 0.000) [2 per cell]

=====

[4]
VASP calculation (PBE-GGA) on a geometry-optimized Lu6Ni2Sn structure.

a b c (Å): 9.129 9.418 9.955
angles (deg): 90.00 90.00 90.00
Space group Immm (No. 71)
Inequivalent atoms, fractional coordinates:
Lu (0.000, 0.206, 0.235) [8 per cell]
Lu (0.192, 0.500, 0.174) [8 per cell]
Lu (0.209, 0.317, 0.500) [8 per cell]
Ni (0.000, 0.349, 0.000) [4 per cell]
Ni (0.000, 0.500, 0.376) [4 per cell]
Sn (0.000, 0.000, 0.000) [2 per cell]
Sn (0.000, 0.000, 0.500) [2 per cell]

=====

[5]
VASP calculation (PBE-GGA) on a geometry-optimized LuNi4Sn structure.

a b c (Å): 7.003 7.003 7.003
angles (deg): 90.00 90.00 90.00
Space group F-43m (No. 216)
Inequivalent atoms, fractional coordinates:
Lu (0.000, 0.000, 0.000) [4 per cell]
Ni (0.125, 0.125, 0.375) [16 per cell]
Sn (0.250, 0.250, 0.750) [4 per cell]

=====

[6]
VASP calculation (PBE-GGA) on a geometry-optimized Lu2NiSn structure.

a b c (Å): 3.413 3.413 7.439
angles (deg): 90.00 90.00 90.00
Space group P4/mmm (No. 123)
Inequivalent atoms, fractional coordinates:
Lu (0.000, 0.000, 0.212) [2 per cell]
Ni (0.500, 0.500, 0.000) [1 per cell]
Sn (0.500, 0.500, 0.500) [1 per cell]

Results
**E above lowest polymorph**: 0 meV per atom

=====

[7]
VASP calculation (PBE-GGA) on a geometry-optimized Lu2NiSn structure.

a b c (Å): 3.7168 3.7168 27.6416
angles (deg): 90.00 90.00 120.00
Space group R-3m (No. 166, hexagonal axes)
Inequivalent atoms, fractional coordinates:
Lu (0.0000, 0.0000, 0.1123) [6 per cell]
Ni (0.0000, 0.0000, 0.5000) [3 per cell]
Sn (0.0000, 0.0000, 0.0000) [3 per cell]

Results
**E above lowest polymorph**: 408 meV per atom

=====

[8]
VASP calculation (PBE-GGA) on a geometry-optimized LuNi2Sn structure.

a b c (Å): 3.345 3.345 6.136
angles (deg): 90.00 90.00 90.00
Space group P4/mmm (No. 123)
Inequivalent atoms, fractional coordinates:
Lu (0.000, 0.000, 0.000) [1 per cell]
Ni (0.500, 0.500, 0.261) [2 per cell]
Sn (0.000, 0.000, 0.500) [1 per cell]

=====

[9]
VASP calculation (PBE-GGA) on a geometry-optimized LuNi5Sn structure.

a b c (Å): 7.993 4.828 10.218
angles (deg): 90.00 90.00 90.00
Space group Pnma (No. 62)
Inequivalent atoms, fractional coordinates:
Lu (0.246, 0.250, 0.061) [4 per cell]
Ni (0.048, 0.250, 0.598) [4 per cell]
Ni (0.066, 0.501, 0.809) [8 per cell]
Ni (0.086, 0.750, 0.017) [4 per cell]
Ni (0.189, 0.750, 0.242) [4 per cell]
Sn (0.140, 0.250, 0.361) [4 per cell]

=====

[10]
VASP calculation (PBE-GGA) on a geometry-optimized LuNi2Sn structure.

a b c (Å): 4.400 4.400 3.483
angles (deg): 90.00 90.00 90.00
Space group P4/mmm (No. 123)
Inequivalent atoms, fractional coordinates:
Lu (0.000, 0.000, 0.000) [1 per cell]
Ni (0.000, 0.500, 0.500) [2 per cell]
Sn (0.500, 0.500, 0.000) [1 per cell]

=====

[11]
VASP calculation (PBE-GGA) on a geometry-optimized LuNiSn structure.

a b c (Å): 6.977 4.413 7.644
angles (deg): 90.00 90.00 90.00
Space group Pnma (No. 62)
Inequivalent atoms, fractional coordinates:
Lu (0.013, 0.250, 0.199) [4 per cell]
Ni (0.208, 0.750, 0.412) [4 per cell]
Sn (0.187, 0.250, 0.585) [4 per cell]

=====

[12]
VASP calculation (PBE-GGA) on a geometry-optimized LuNiSn structure.

a b c (Å): 4.4508 4.4508 3.4994
angles (deg): 90.00 90.00 120.00
Space group P-6m2 (No. 187)
Inequivalent atoms, fractional coordinates:
Lu (0.0000, 0.0000, 0.0000) [1 per cell]
Ni (0.6667, 0.3333, 0.5000) [1 per cell]
Sn (0.3333, 0.6667, 0.5000) [1 per cell]

=====

[13]
VASP calculation (PBE-GGA) on a geometry-optimized Lu2NiSn6 structure.

a b c (Å): 4.347 22.460 4.411
angles (deg): 90.00 90.00 90.00
Space group Cmmm (No. 65)
Inequivalent atoms, fractional coordinates:
Lu (0.000, 0.180, 0.000) [4 per cell]
Ni (0.000, 0.500, 0.500) [2 per cell]
Sn (0.000, 0.072, 0.500) [4 per cell]
Sn (0.000, 0.296, 0.500) [4 per cell]
Sn (0.000, 0.429, 0.000) [4 per cell]

=====

[14]
VASP calculation (PBE-GGA) on a geometry-optimized TbLuNiSn structure.

a b c (Å): 7.144 7.144 7.144
angles (deg): 90.00 90.00 90.00
Space group F-43m (No. 216)
Inequivalent atoms, fractional coordinates:
Tb (0.000, 0.000, 0.000) [4 per cell]
Lu (0.000, 0.000, 0.500) [4 per cell]
Ni (0.250, 0.250, 0.250) [4 per cell]
Sn (0.250, 0.250, 0.750) [4 per cell]

=====

[15]
VASP calculation (PBE-GGA) on a geometry-optimized LuTcNiSn structure.

a b c (Å): 6.519 6.519 6.519
angles (deg): 90.00 90.00 90.00
Space group F-43m (No. 216)
Inequivalent atoms, fractional coordinates:
Lu (0.000, 0.000, 0.000) [4 per cell]
Tc (0.250, 0.250, 0.750) [4 per cell]
Ni (0.250, 0.250, 0.250) [4 per cell]
Sn (0.000, 0.000, 0.500) [4 per cell]

=====

[16]
VASP calculation (PBE-GGA) on a geometry-optimized TmLuNiSn structure.

a b c (Å): 7.076 7.076 7.076
angles (deg): 90.00 90.00 90.00
Space group F-43m (No. 216)
Inequivalent atoms, fractional coordinates:
Tm (0.000, 0.000, 0.000) [4 per cell]
Lu (0.000, 0.000, 0.500) [4 per cell]
Ni (0.250, 0.250, 0.250) [4 per cell]
Sn (0.250, 0.250, 0.750) [4 per cell]

=====

[17]
VASP calculation (PBE-GGA) on a geometry-optimized LuZnNiSn structure.

a b c (Å): 6.593 6.593 6.593
angles (deg): 90.00 90.00 90.00
Space group F-43m (No. 216)
Inequivalent atoms, fractional coordinates:
Lu (0.000, 0.000, 0.000) [4 per cell]
Zn (0.250, 0.250, 0.250) [4 per cell]
Ni (0.250, 0.250, 0.750) [4 per cell]
Sn (0.000, 0.000, 0.500) [4 per cell]

=====

[18]
VASP calculation (PBE-GGA) on a geometry-optimized SrLuNi4 structure.

a b c (Å): 7.243 7.243 7.243
angles (deg): 90.00 90.00 90.00
Space group F-43m (No. 216)
Inequivalent atoms, fractional coordinates:
Sr (0.000, 0.000, 0.000) [4 per cell]
Lu (0.250, 0.250, 0.250) [4 per cell]
Ni (0.124, 0.124, 0.624) [16 per cell]

=====

[19]
VASP calculation (PBE-GGA) on a geometry-optimized SrLu2Ni structure.

a b c (Å): 3.422 3.422 9.455
angles (deg): 90.00 90.00 90.00
Space group P4/mmm (No. 123)
Inequivalent atoms, fractional coordinates:
Sr (0.000, 0.000, 0.000) [1 per cell]
Lu (0.500, 0.500, 0.335) [2 per cell]
Ni (0.000, 0.000, 0.500) [1 per cell]

=====

[20]
VASP calculation (PBE-GGA) on a geometry-optimized LuTaNi2 structure.

a b c (Å): 4.2550 4.2550 13.3314
angles (deg): 90.00 90.00 120.00
Space group R-3m (No. 166, hexagonal axes)
Inequivalent atoms, fractional coordinates:
Lu (0.0000, 0.0000, 0.0000) [3 per cell]
Ta (0.0000, 0.0000, 0.5000) [3 per cell]
Ni (0.0000, 0.0000, 0.2074) [6 per cell]

Results
**E above lowest polymorph**: 11 meV per atom

=====

[21]
VASP calculation (PBE-GGA) on a geometry-optimized LuTaNi2 structure.

a b c (Å): 4.625 4.625 2.978
angles (deg): 90.00 90.00 90.00
Space group P4/mmm (No. 123)
Inequivalent atoms, fractional coordinates:
Lu (0.000, 0.000, 0.000) [1 per cell]
Ta (0.500, 0.500, 0.000) [1 per cell]
Ni (0.000, 0.500, 0.500) [2 per cell]

Results
**E above lowest polymorph**: 83 meV per atom

=====

[22]
VASP calculation (PBE-GGA) on a geometry-optimized LuTaNi2 structure.

a b c (Å): 3.170 3.170 6.556
angles (deg): 90.00 90.00 90.00
Space group P4/mmm (No. 123)
Inequivalent atoms, fractional coordinates:
Lu (0.000, 0.000, 0.000) [1 per cell]
Ta (0.000, 0.000, 0.500) [1 per cell]
Ni (0.500, 0.500, 0.297) [2 per cell]

Results
**E above lowest polymorph**: 0 meV per atom

=====

[23]
VASP calculation (PBE-GGA) on a geometry-optimized LuTaNi4 structure.

a b c (Å): 6.924 6.924 6.924
angles (deg): 90.00 90.00 90.00
Space group F-43m (No. 216)
Inequivalent atoms, fractional coordinates:
Lu (0.000, 0.000, 0.000) [4 per cell]
Ta (0.250, 0.250, 0.250) [4 per cell]
Ni (0.125, 0.125, 0.625) [16 per cell]

=====

[24]
VASP calculation (PBE-GGA) on a geometry-optimized TbLuNi structure.

a b c (Å): 6.641 6.641 6.641
angles (deg): 90.00 90.00 90.00
Space group F-43m (No. 216)
Inequivalent atoms, fractional coordinates:
Tb (0.000, 0.000, 0.000) [4 per cell]
Lu (0.000, 0.000, 0.500) [4 per cell]
Ni (0.250, 0.250, 0.250) [4 per cell]

Results
**E above lowest polymorph**: 84 meV per atom

=====

[25]
VASP calculation (PBE-GGA) on a geometry-optimized TbLu3Ni structure.

a b c (Å): 5.195 5.195 5.195
angles (deg): 90.00 90.00 90.00
Space group Pm-3m (No. 221)
Inequivalent atoms, fractional coordinates:
Tb (0.000, 0.000, 0.000) [1 per cell]
Lu (0.000, 0.500, 0.500) [3 per cell]
Ni (0.500, 0.500, 0.500) [1 per cell]

=====

[26]
VASP calculation (PBE-GGA) on a geometry-optimized TbLuNi4 structure.

a b c (Å): 7.127 7.127 7.127
angles (deg): 90.00 90.00 90.00
Space group F-43m (No. 216)
Inequivalent atoms, fractional coordinates:
Tb (0.000, 0.000, 0.000) [4 per cell]
Lu (0.250, 0.250, 0.750) [4 per cell]
Ni (0.124, 0.124, 0.376) [16 per cell]

=====

[27]
VASP calculation (PBE-GGA) on a geometry-optimized TbLuNi structure.

a b c (Å): 3.369 3.369 12.263
angles (deg): 90.00 90.00 90.00
Space group I4mm (No. 107)
Inequivalent atoms, fractional coordinates:
Tb (0.000, 0.000, 0.000) [2 per cell]
Lu (0.000, 0.000, 0.264) [2 per cell]
Ni (0.000, 0.000, 0.640) [2 per cell]

Results
**E above lowest polymorph**: 0 meV per atom

=====

Number 1: E -5.247 eV per atom, total magnetization 0.0 Bohr magnetons per cell, DFT formation energy -0.239 eV per atom. Number 2: E -5.110 eV per atom, total magnetization 0.0 Bohr magnetons per cell, DFT formation energy -0.224 eV per atom. Number 3: E -4.680 eV per atom, total magnetization 0.0 Bohr magnetons per cell, DFT formation energy -0.294 eV per atom. Number 4: E -5.189 eV per atom, total magnetization 0.0 Bohr magnetons per cell, DFT formation energy -0.446 eV per atom. Number 5: E -5.687 eV per atom, total magnetization 0.0 Bohr magnetons per cell, DFT formation energy -0.412 eV per atom. Number 6: E -5.235 eV per atom, total magnetization 0.0 Bohr magnetons per cell, DFT formation energy -0.528 eV per atom. Number 7: E -4.826 eV per atom, total magnetization 0.0 Bohr magnetons per cell, DFT formation energy -0.120 eV per atom. Number 8: E -5.336 eV per atom, total magnetization 0.0 Bohr magnetons per cell, DFT formation energy -0.315 eV per atom. Number 9: E -5.727 eV per atom, total magnetization 0.0 Bohr magnetons per cell, DFT formation energy -0.380 eV per atom. Number 10: E -5.404 eV per atom, total magnetization 0.0 Bohr magnetons per cell, DFT formation energy -0.382 eV per atom. Number 11: E -5.425 eV per atom, total magnetization 0.0 Bohr magnetons per cell, DFT formation energy -0.657 eV per atom. Number 12: E -5.344 eV per atom, total magnetization 0.0 Bohr magnetons per cell, DFT formation energy -0.575 eV per atom. Number 13: E -4.722 eV per atom, total magnetization 0.0 Bohr magnetons per cell, DFT formation energy -0.406 eV per atom. Number 14: E -5.174 eV per atom, total magnetization 0.0 Bohr magnetons per cell, DFT formation energy -0.440 eV per atom. Number 15: E -6.393 eV per atom, total magnetization 0.0 Bohr magnetons per cell, DFT formation energy -0.225 eV per atom. Number 16: E -5.146 eV per atom, total magnetization 0.0 Bohr magnetons per cell, DFT formation energy -0.452 eV per atom. Number 17: E -4.243 eV per atom, total magnetization 0.0 Bohr magnetons per cell, DFT formation energy -0.348 eV per atom. Number 18: E -5.079 eV per atom, total magnetization 0.0 Bohr magnetons per cell, DFT formation energy -0.191 eV per atom. Number 19: E -4.232 eV per atom, total magnetization 0.0 Bohr magnetons per cell, DFT formation energy -0.106 eV per atom. Number 20: E -7.253 eV per atom, total magnetization 0.0 Bohr magnetons per cell, DFT formation energy -0.269 eV per atom. Number 21: E -7.181 eV per atom, total magnetization 0.0 Bohr magnetons per cell, DFT formation energy -0.196 eV per atom. Number 22: E -7.264 eV per atom, total magnetization 0.0 Bohr magnetons per cell, DFT formation energy -0.280 eV per atom. Number 23: E -6.870 eV per atom, total magnetization 0.0 Bohr magnetons per cell, DFT formation energy -0.287 eV per atom. Number 24: E -5.165 eV per atom, total magnetization 0.0 Bohr magnetons per cell, DFT formation energy -0.187 eV per atom. Number 25: E -4.887 eV per atom, total magnetization 0.0 Bohr magnetons per cell, DFT formation energy -0.092 eV per atom. Number 26: E -5.854 eV per atom, total magnetization 0.0 Bohr magnetons per cell, DFT formation energy -0.474 eV per atom. Number 27: E -5.249 eV per atom, total magnetization 0.0 Bohr magnetons per cell, DFT formation energy -0.271 eV per atom.